Entry 1:
VASP calculation (PBE-GGA) on an optimized crystal structure of CsTcSbTe2.

Structure (CIF):
```
data_CsTcSbTe2
_chemical_formula_sum 'Cs1 Tc1 Sb1 Te2'
_space_group_name_H-M_alt 'P 4/m m m'
_space_group_IT_number 123
_space_group_name_Hall '-P 4 2'
_cell_length_a 5.616
_cell_length_b 5.616
_cell_length_c 5.235
_cell_angle_alpha 90.00
_cell_angle_beta 90.00
_cell_angle_gamma 90.00
loop_
_atom_site_label
_atom_site_type_symbol
_atom_site_fract_x
_atom_site_fract_y
_atom_site_fract_z
Cs1 Cs 0.000 0.000 0.000
Tc1 Tc 0.500 0.500 0.500
Sb1 Sb 0.500 0.500 0.000
Te1 Te 0.000 0.500 0.500
```

Properties
distance to the lowest polymorph of the same formula = 0 meV/atom
formation energy from raw total energies = 47.8 meV per atom
total energy = -21.39 eV/cell

=====

Entry 2:
VASP calculation (PBE-GGA) on an optimized crystal structure of Cu6Pd12Au.

Structure (CIF):
```
data_Cu6Pd12Au
_chemical_formula_sum 'Cu18 Pd36 Au3'
_space_group_name_H-M_alt 'R -3'
_space_group_IT_number 148
_space_group_name_Hall '-R 3'
_cell_length_a 11.9737
_cell_length_b 11.9737
_cell_length_c 6.7035
_cell_angle_alpha 90.00
_cell_angle_beta 90.00
_cell_angle_gamma 120.00
loop_
_atom_site_label
_atom_site_type_symbol
_atom_site_fract_x
_atom_site_fract_y
_atom_site_fract_z
Cu1 Cu 0.0338 0.7533 0.3303
Pd1 Pd 0.0134 0.8707 0.6619
Pd2 Pd 0.0651 0.5052 0.6712
Au1 Au 0.0000 0.0000 0.0000
```

Properties
distance to the lowest polymorph of the same formula = 0 meV/atom
DFT formation energy = -69 meV/atom
total energy = -274.43 eV/cell

=====

Entry 3:
VASP calculation (PBE-GGA) on an optimized crystal structure of Pr3AlGe4.

Structure (CIF):
```
data_Pr3AlGe4
_chemical_formula_sum 'Pr6 Al2 Ge8'
_space_group_name_H-M_alt 'I m m m'
_space_group_IT_number 71
_space_group_name_Hall '-I 2 2'
_cell_length_a 4.548
_cell_length_b 5.972
_cell_length_c 15.327
_cell_angle_alpha 90.00
_cell_angle_beta 90.00
_cell_angle_gamma 90.00
loop_
_atom_site_label
_atom_site_type_symbol
_atom_site_fract_x
_atom_site_fract_y
_atom_site_fract_z
Pr1 Pr 0.000 0.000 0.000
Pr2 Pr 0.000 0.500 0.188
Al1 Al 0.000 0.000 0.500
Ge1 Ge 0.000 0.293 0.375
```

Properties
DFT formation energy = -610 meV/atom
total energy = -82.86 eV/cell

=====

Entry 4:
VASP calculation (PBE-GGA) on an optimized crystal structure of Mg7Hg12Pb.

Structure (CIF):
```
data_Mg7Hg12Pb
_chemical_formula_sum 'Mg14 Hg24 Pb2'
_space_group_name_H-M_alt 'I m -3'
_space_group_IT_number 204
_space_group_name_Hall '-I 2 2 3'
_cell_length_a 10.507
_cell_length_b 10.507
_cell_length_c 10.507
_cell_angle_alpha 90.00
_cell_angle_beta 90.00
_cell_angle_gamma 90.00
loop_
_atom_site_label
_atom_site_type_symbol
_atom_site_fract_x
_atom_site_fract_y
_atom_site_fract_z
Mg1 Mg 0.000 0.000 0.500
Mg2 Mg 0.250 0.250 0.250
Hg1 Hg 0.000 0.282 0.159
Pb1 Pb 0.000 0.000 0.000
```

Properties
DFT formation energy = 43 meV/atom
total energy = -35.25 eV/cell

=====

Entry 5:
VASP calculation (PBE-GGA) on an optimized crystal structure of InSiAu2.

Structure (CIF):
```
data_InSiAu2
_chemical_formula_sum 'In2 Si2 Au4'
_space_group_name_H-M_alt 'I 4/m m m'
_space_group_IT_number 139
_space_group_name_Hall '-I 4 2'
_cell_length_a 4.288
_cell_length_b 4.288
_cell_length_c 8.279
_cell_angle_alpha 90.00
_cell_angle_beta 90.00
_cell_angle_gamma 90.00
loop_
_atom_site_label
_atom_site_type_symbol
_atom_site_fract_x
_atom_site_fract_y
_atom_site_fract_z
In1 In 0.000 0.000 0.000
Si1 Si 0.000 0.000 0.500
Au1 Au 0.000 0.500 0.250
```

Properties
formation energy from raw total energies = 171.1 meV per atom
total energy = -28.06 eV/cell

=====

Entry 6:
VASP calculation (PBE-GGA) on an optimized crystal structure of AlHgBr2.

Structure (CIF):
```
data_AlHgBr2
_chemical_formula_sum 'Al1 Hg1 Br2'
_space_group_name_H-M_alt 'P 4/m m m'
_space_group_IT_number 123
_space_group_name_Hall '-P 4 2'
_cell_length_a 3.442
_cell_length_b 3.442
_cell_length_c 10.244
_cell_angle_alpha 90.00
_cell_angle_beta 90.00
_cell_angle_gamma 90.00
loop_
_atom_site_label
_atom_site_type_symbol
_atom_site_fract_x
_atom_site_fract_y
_atom_site_fract_z
Al1 Al 0.000 0.000 0.000
Hg1 Hg 0.000 0.000 0.500
Br1 Br 0.500 0.500 0.162
```

Properties
distance to the lowest polymorph of the same formula = 302 meV/atom
formation energy from raw total energies = -215.8 meV per atom
total energy = -8.25 eV/cell

=====

Total magnetization across the listed records, respectively: 2.469 0.002 0.000 0.000 0.000 0.000 μB per formula unit.